i:
A relaxed structure of Na5TlCd, computed with GGA-PBE.

Computed properties:
Magnetic moment   0.00 μB per atom
V   448 Å³ per cell
D(E_F)   0.54 states/eV/atom

a b c (Å): 6.1469 6.3270 11.5292
angles (deg): 90.00 90.00 90.00
Space group Imm2 (No. 44)
Asymmetric unit:
Na (0.0000, 0.0000, 0.0000) (multiplicity 2)
Na (0.0000, 0.2590, 0.2603) (multiplicity 4)
Na (0.2480, 0.5000, 0.9898) (multiplicity 4)
Tl (0.0000, 0.5000, 0.6778) (multiplicity 2)
Cd (0.0000, 0.0000, 0.7343) (multiplicity 2)


ii:
A relaxed structure of Na5TlCd, computed with GGA-PBE.

Computed properties:
Magnetic moment   0.00 μB per atom
V   879 Å³ per cell
D(E_F)   0.46 states/eV/atom

a b c (Å): 17.0508 8.5482 6.4075
angles (deg): 90.00 109.66 90.00
Space group C2/c (No. 15)
Asymmetric unit:
Na (0.0000, 0.1554, 0.2500) (multiplicity 4)
Na (0.1184, 0.4966, 0.1198) (multiplicity 8)
Na (0.1783, 0.1055, 0.9490) (multiplicity 8)
Tl (0.2500, 0.2500, 0.5000) (multiplicity 4)
Cd (0.0000, 0.2496, 0.7500) (multiplicity 4)


Which of them is the most stable? Correct choice: ii.


i:
A relaxed structure of Na12TlCd6, computed with GGA-PBE.

Computed properties:
Magnetic moment   0.00 μB per atom
V   1661 Å³ per cell
D(E_F)   0.43 states/eV/atom

a b c (Å): 11.4537 11.4537 14.6205
angles (deg): 90.00 90.00 120.00
Space group R-3 (No. 148, hexagonal axes)
Asymmetric unit:
Na (0.0336, 0.1915, 0.3148) (multiplicity 18)
Na (0.0610, 0.8416, 0.9133) (multiplicity 18)
Tl (0.0000, 0.0000, 0.5000) (multiplicity 3)
Cd (0.0305, 0.4409, 0.2002) (multiplicity 18)


ii:
A relaxed structure of Na12TlCd6, computed with GGA-PBE.

Computed properties:
Magnetic moment   0.00 μB per atom
V   1765 Å³ per cell
D(E_F)   0.51 states/eV/atom

a b c (Å): 11.1958 11.1958 16.2564
angles (deg): 90.00 90.00 120.00
Space group R-3 (No. 148, hexagonal axes)
Asymmetric unit:
Na (0.0583, 0.8670, 0.3846) (multiplicity 18)
Na (0.0699, 0.2121, 0.1570) (multiplicity 18)
Tl (0.0000, 0.0000, 0.0000) (multiplicity 3)
Cd (0.0179, 0.4540, 0.6341) (multiplicity 18)


Which of them is the most stable? Correct choice: i.